Record 1
A relaxed structure of Na12Cd3Pd, computed with PBE-GGA.

Cell and atoms, written as CIF:
```
data_Na12Cd3Pd
_cell_length_a 4.892
_cell_length_b 4.892
_cell_length_c 19.006
_cell_angle_alpha 90.00
_cell_angle_beta 90.00
_cell_angle_gamma 90.00
_space_group_name_H-M_alt 'P 4/m m m'
_space_group_IT_number 123
_space_group_name_Hall '-P 4 2'
loop_
_atom_site_label
_atom_site_type_symbol
_atom_site_fract_x
_atom_site_fract_y
_atom_site_fract_z
Na1 Na 0.000 0.000 0.000
Na2 Na 0.000 0.000 0.240
Na3 Na 0.000 0.000 0.500
Na4 Na 0.000 0.500 0.108
Na5 Na 0.000 0.500 0.370
Cd1 Cd 0.500 0.500 0.239
Cd2 Cd 0.500 0.500 0.500
Pd1 Pd 0.500 0.500 0.000
```

ρ: 2627 kg/m3
D(E_F): 6.1 states/eV/f.u.
ΔE_f: -0.02 eV per atom

Record 2
A relaxed structure of NaCdPd2, computed with PBE-GGA.

Cell and atoms, written as CIF:
```
data_NaCdPd2
_cell_length_a 3.342
_cell_length_b 3.342
_cell_length_c 6.511
_cell_angle_alpha 90.00
_cell_angle_beta 90.00
_cell_angle_gamma 90.00
_space_group_name_H-M_alt 'P 4/m m m'
_space_group_IT_number 123
_space_group_name_Hall '-P 4 2'
loop_
_atom_site_label
_atom_site_type_symbol
_atom_site_fract_x
_atom_site_fract_y
_atom_site_fract_z
Na1 Na 0.000 0.000 0.000
Cd1 Cd 0.000 0.000 0.500
Pd1 Pd 0.500 0.500 0.268
```

ρ: 7951 kg/m3
D(E_F): 1.0 states/eV/f.u.
ΔE_f: -0.21 eV per atom

Record 3
A relaxed structure of NaCdPd2, computed with PBE-GGA.

Cell and atoms, written as CIF:
```
data_NaCdPd2
_cell_length_a 3.0045
_cell_length_b 3.0045
_cell_length_c 27.8497
_cell_angle_alpha 90.00
_cell_angle_beta 90.00
_cell_angle_gamma 120.00
_space_group_name_H-M_alt 'R -3 m'
_space_group_IT_number 166
_space_group_name_Hall '-R 3 2"'
loop_
_atom_site_label
_atom_site_type_symbol
_atom_site_fract_x
_atom_site_fract_y
_atom_site_fract_z
Na1 Na 0.0000 0.0000 0.0000
Cd1 Cd 0.0000 0.0000 0.5000
Pd1 Pd 0.0000 0.0000 0.2462
```

ρ: 7968 kg/m3
D(E_F): 2.9 states/eV/f.u.
ΔE_f: -0.13 eV per atom

- What is the formula in the third record?
  NaCdPd2

- Among the records above, which one has the highest ρ?
  number 3

- Which value of D(E_F) does entry 1 give?
  6.1 states/eV/f.u.